(1)
Density functional theory data (PBE-GGA) for a relaxed Sc2ZnOs crystal.

Properties
Spin magnetization (μB/cell): 0.34
Distance to the lowest polymorph of the same formula (eV/atom): 0.577
DFT formation energy (eV/atom): 0.11

a b c (Å): 9.351 9.351 9.351
angles (deg): 18.99 18.99 18.99
Element x y z (fractional)
Sc 0.000 0.000 0.000
Sc 0.228 0.228 0.228
Zn 0.750 0.750 0.750
Os 0.489 0.489 0.489



(2)
Density functional theory data (PBE-GGA) for a relaxed Sc2ZnOs crystal.

Properties
Spin magnetization (μB/cell): 0.00
Distance to the lowest polymorph of the same formula (eV/atom): 0.254
DFT formation energy (eV/atom): -0.21

a b c (Å): 5.048 5.048 5.048
angles (deg): 132.23 132.23 69.87
Element x y z (fractional)
Sc 0.000 0.000 0.000
Sc 0.750 0.250 0.500
Zn 0.250 0.750 0.500
Os 0.500 0.500 0.000



(3)
Density functional theory data (PBE-GGA) for a relaxed Sc4ZnOs crystal.

Properties
Spin magnetization (μB/cell): 0.00
Distance to the lowest polymorph of the same formula (eV/atom): 0.169
DFT formation energy (eV/atom): -0.12

a b c (Å): 4.563 4.563 6.476
angles (deg): 90.05 90.05 90.00
Element x y z (fractional)
Sc 0.000 0.500 0.238
Sc 0.000 0.500 0.762
Sc 0.500 0.000 0.238
Sc 0.500 0.000 0.762
Zn 0.000 0.000 0.500
Os 0.500 0.500 0.000



Which of these has the highest distance to the lowest polymorph of the same formula? number 1



What is the spin magnetization in the second record? 0.00 μB/cell



What is the formula in the second record? Sc2ZnOs